PBE-GGA Tb2PrNi2Ge2, optimized geometry; formation enthalpy at 0 K = -616.2 meV per atom; spin magnetization = 0.000 μB per formula unit; SG = No. 166; theoretical density = 7.9 g cm⁻³
1.0
-2.949 -2.406 1.988
1.226 -3.077 2.732
-0.843 4.391 8.698
Ni Ge Tb Pr
2 2 2 1
direct
0.405 0.405 0.786
0.595 0.595 0.214
0.261 0.261 0.218
0.739 0.739 0.782
0.125 0.125 0.626
0.875 0.875 0.374
0.000 0.000 0.000


PBE-GGA ZnInAu2, optimized geometry; formation enthalpy at 0 K = -62.0 meV per atom; spin magnetization = 0.000 μB per formula unit; SG = No. 10; theoretical density = 12.3 g cm⁻³
1.0
4.140 0.000 0.000
0.000 3.196 0.079
0.000 0.897 5.871
In Zn Au
1 1 2
direct
0.500 0.250 0.250
0.500 0.750 0.750
0.000 0.558 0.517
0.000 0.942 0.983


PBE-GGA AcZnGa2Pt, optimized geometry; formation enthalpy at 0 K = -727.4 meV per atom; spin magnetization = 0.000 μB per formula unit; SG = No. 44; theoretical density = 9.8 g cm⁻³
1.0
-2.890 1.440 3.044
-3.225 -0.104 -3.013
1.950 -5.769 1.347
Ac Pt Ga Zn
1 1 2 1
direct
0.445 0.445 0.889
0.822 0.822 0.644
0.057 0.057 0.113
0.697 0.197 0.393
0.192 0.692 0.385


PBE-GGA FeHg2Cl8, optimized geometry; spin magnetization = 4.036 μB per formula unit; SG = No. 12; E_form (uncorrected) = -12.05 kcal/mol of atoms; theoretical density = 3.2 g cm⁻³
1.0
6.729 0.000 0.000
-3.364 5.762 -2.157
0.000 -0.016 9.856
Cl Fe Hg
8 1 2
direct
0.450 0.900 0.297
0.816 0.632 0.464
0.102 0.750 0.892
0.352 0.250 0.108
0.550 0.100 0.703
0.184 0.368 0.536
0.648 0.750 0.892
0.898 0.250 0.108
0.000 0.000 0.000
0.678 0.355 0.576
0.322 0.645 0.424


PBE-GGA Sr3Tb4S8, optimized geometry; spin magnetization = 0.000 μB per formula unit; SG = No. 12; E_form (uncorrected) = -47.23 kcal/mol of atoms; theoretical density = 5.0 g cm⁻³
1.0
8.059 -0.097 -0.139
-3.918 7.126 0.155
-3.918 -2.328 6.737
S Tb Sr
8 4 3
direct
0.500 0.243 0.757
0.525 0.772 0.772
0.014 0.763 0.763
0.000 0.758 0.242
0.475 0.228 0.228
0.500 0.757 0.243
0.000 0.242 0.758
0.986 0.237 0.237
0.000 0.000 0.000
0.500 0.000 0.000
0.000 0.000 0.500
0.000 0.500 0.000
0.500 0.000 0.500
0.500 0.500 0.000
0.500 0.500 0.500


PBE-GGA SmHfIrAu, optimized geometry; formation enthalpy at 0 K = -573.3 meV per atom; spin magnetization = 0.000 μB per formula unit; SG = No. 216; theoretical density = 14.4 g cm⁻³
1.0
-2.067 2.283 -3.803
-4.683 -0.869 -1.126
-3.382 3.454 0.763
Sm Hf Ir Au
1 1 1 1
direct
0.000 0.000 0.000
0.500 0.500 0.500
0.750 0.750 0.750
0.250 0.250 0.250


PBE-GGA GaS2BrCl, optimized geometry; spin magnetization = 0.398 μB per formula unit; SG = No. 123; E_form (uncorrected) = 6.69 kcal/mol of atoms; polymorph energy (0 for the lowest one) = 0.000 eV/atom; theoretical density = 3.7 g cm⁻³
1.0
4.850 0.000 0.000
0.000 4.850 0.000
0.000 0.000 4.712
Cl Ga S Br
1 1 2 1
direct
0.000 0.000 0.500
0.000 0.000 0.000
0.500 0.000 0.000
0.000 0.500 0.000
0.500 0.500 0.500


PBE-GGA AgSI, optimized geometry; spin magnetization = 0.000 μB per formula unit; SG = No. 67; E_form (uncorrected) = 1.22 kcal/mol of atoms; polymorph energy (0 for the lowest one) = 0.072 eV/atom; theoretical density = 4.5 g cm⁻³
1.0
-1.047 -5.055 6.762
8.167 0.372 1.542
-0.805 4.439 3.194
Ag S I
4 4 4
direct
0.000 0.000 0.000
0.500 0.500 0.000
0.000 0.500 0.000
0.500 0.000 0.000
0.500 0.750 0.213
0.000 0.250 0.213
0.000 0.750 0.787
0.500 0.250 0.787
0.750 0.750 0.500
0.250 0.750 0.500
0.750 0.250 0.500
0.250 0.250 0.500